Entry P
12
Lattice="5.938 0.000 0.000 0.000 5.938 0.000 0.000 0.000 5.938" Properties=species:S:1:pos:R:3 comment="AlCuMo, optimized geometry, DFT PBE" spacegroup=F-43m pbc="T T T"
Al 0.000 0.000 0.000
Al 0.000 2.969 2.969
Al 2.969 0.000 2.969
Al 2.969 2.969 0.000
Cu 0.000 0.000 2.969
Cu 0.000 2.969 0.000
Cu 2.969 0.000 0.000
Cu 2.969 2.969 2.969
Mo 1.485 1.485 1.485
Mo 1.485 4.454 4.454
Mo 4.454 1.485 4.454
Mo 4.454 4.454 1.485

=====

Entry Q
12
Lattice="5.777 0.000 0.000 0.000 5.777 0.000 0.000 0.000 5.777" Properties=species:S:1:pos:R:3 comment="AlCuMo, optimized geometry, DFT PBE" spacegroup=F-43m pbc="T T T"
Al 0.000 0.000 0.000
Al 0.000 2.888 2.888
Al 2.888 0.000 2.888
Al 2.888 2.888 0.000
Cu 1.444 1.444 1.444
Cu 1.444 4.333 4.333
Cu 4.333 1.444 4.333
Cu 4.333 4.333 1.444
Mo 0.000 0.000 2.888
Mo 0.000 2.888 0.000
Mo 2.888 0.000 0.000
Mo 2.888 2.888 2.888

=====

Ranking the structures above from most stable to least stable yields entry Q, entry P.